Material: Zr2TcOs3
Method: DFT, PBE-GGA
State: relaxed

Unit cell a=5.2636 b=5.2636 c=8.5116 alpha=90.00 beta=90.00 gamma=120.00
Space group P6_3/mmc (No. 194)
Asymmetric unit:
Zr: 0.3333 0.6667 0.0652 x4
Tc: 0.0000 0.0000 0.0000 x2
Os: 0.1726 0.3452 0.7500 x6

Calculated values
Calculated formation energy in eV/f.u.: -2.229
Total magnetic moment in μB/cell: 0.01
E_tot in eV per atom: -10.56